Record 1
DFT (PBE) results for a geometry-optimized CaNiSn2 structure.

The structure in CIF format:
```
data_CaNiSn2
_chemical_formula_sum 'Ca4 Ni4 Sn8'
_symmetry_space_group_name_H-M 'I -4 2 d'
_symmetry_Int_Tables_number 122
_symmetry_space_group_name_Hall 'I -4 2bw'
_cell_length_a 5.064
_cell_length_b 5.064
_cell_length_c 17.338
_cell_angle_alpha 90.00
_cell_angle_beta 90.00
_cell_angle_gamma 90.00
loop_
_atom_site_label
_atom_site_type_symbol
_atom_site_fract_x
_atom_site_fract_y
_atom_site_fract_z
Ca1 Ca 0.000 0.000 0.000
Ni1 Ni 0.000 0.000 0.500
Sn1 Sn 0.130 0.250 0.625
```

Computed properties:
Crystal system: tetragonal
Formation enthalpy at 0 K (meV/atom): -65

=====

Record 2
DFT (PBE) results for a geometry-optimized CaNi4Sn8 structure.

The structure in CIF format:
```
data_CaNi4Sn8
_chemical_formula_sum 'Ca2 Ni8 Sn16'
_symmetry_space_group_name_H-M 'I 4/m m m'
_symmetry_Int_Tables_number 139
_symmetry_space_group_name_Hall '-I 4 2'
_cell_length_a 9.643
_cell_length_b 9.643
_cell_length_c 5.825
_cell_angle_alpha 90.00
_cell_angle_beta 90.00
_cell_angle_gamma 90.00
loop_
_atom_site_label
_atom_site_type_symbol
_atom_site_fract_x
_atom_site_fract_y
_atom_site_fract_z
Ca1 Ca 0.000 0.000 0.000
Ni1 Ni 0.250 0.250 0.250
Sn1 Sn 0.000 0.218 0.500
Sn2 Sn 0.000 0.331 0.000
```

Computed properties:
Crystal system: tetragonal
Formation enthalpy at 0 K (meV/atom): -34

=====

Record 3
DFT (PBE) results for a geometry-optimized Ca3NiSn3 structure.

The structure in CIF format:
```
data_Ca3NiSn3
_chemical_formula_sum 'Ca12 Ni4 Sn12'
_symmetry_space_group_name_H-M 'C 1 2/m 1'
_symmetry_Int_Tables_number 12
_cell_length_a 11.275
_cell_length_b 4.627
_cell_length_c 15.210
_cell_angle_alpha 90.00
_cell_angle_beta 109.86
_cell_angle_gamma 90.00
loop_
_symmetry_equiv_pos_as_xyz
'x,y,z'
'-x,-y,-z'
'-x,y,-z'
'x,-y,z'
'x+1/2,y+1/2,z'
'-x+1/2,-y+1/2,-z'
'-x+1/2,y+1/2,-z'
'x+1/2,-y+1/2,z'
loop_
_atom_site_label
_atom_site_type_symbol
_atom_site_fract_x
_atom_site_fract_y
_atom_site_fract_z
Ca1 Ca 0.027 0.000 0.387
Ca2 Ca 0.094 0.000 0.917
Ca3 Ca 0.244 0.000 0.237
Ni1 Ni 0.245 0.500 0.397
Sn1 Sn 0.041 0.500 0.246
Sn2 Sn 0.120 0.500 0.078
Sn3 Sn 0.153 0.500 0.541
```

Computed properties:
Crystal system: monoclinic
Formation enthalpy at 0 K (meV/atom): -586

=====

Record 4
DFT (PBE) results for a geometry-optimized SrCa2NiSn structure.

The structure in CIF format:
```
data_SrCa2NiSn
_chemical_formula_sum 'Sr1 Ca2 Ni1 Sn1'
_symmetry_space_group_name_H-M 'P 4/m m m'
_symmetry_Int_Tables_number 123
_symmetry_space_group_name_Hall '-P 4 2'
_cell_length_a 5.478
_cell_length_b 5.478
_cell_length_c 5.046
_cell_angle_alpha 90.00
_cell_angle_beta 90.00
_cell_angle_gamma 90.00
loop_
_atom_site_label
_atom_site_type_symbol
_atom_site_fract_x
_atom_site_fract_y
_atom_site_fract_z
Sr1 Sr 0.000 0.000 0.000
Ca1 Ca 0.000 0.500 0.500
Ni1 Ni 0.500 0.500 0.500
Sn1 Sn 0.500 0.500 0.000
```

Computed properties:
Crystal system: tetragonal
Formation enthalpy at 0 K (meV/atom): -268

=====

Record 5
DFT (PBE) results for a geometry-optimized Ca2Zn2Ni5Sn structure.

The structure in CIF format:
```
data_Ca2Zn2Ni5Sn
_chemical_formula_sum 'Ca4 Zn4 Ni10 Sn2'
_symmetry_space_group_name_H-M 'P 4/m b m'
_symmetry_Int_Tables_number 127
_symmetry_space_group_name_Hall '-P 4 2ab'
_cell_length_a 9.422
_cell_length_b 9.422
_cell_length_c 3.588
_cell_angle_alpha 90.00
_cell_angle_beta 90.00
_cell_angle_gamma 90.00
loop_
_atom_site_label
_atom_site_type_symbol
_atom_site_fract_x
_atom_site_fract_y
_atom_site_fract_z
Ca1 Ca 0.178 0.322 0.000
Zn1 Zn 0.118 0.618 0.000
Ni1 Ni 0.000 0.500 0.500
Ni2 Ni 0.063 0.791 0.500
Sn1 Sn 0.000 0.000 0.000
```

Computed properties:
Crystal system: tetragonal
Formation enthalpy at 0 K (meV/atom): -195

=====

Record 6
DFT (PBE) results for a geometry-optimized Ca2ZnNi4Sn3 structure.

The structure in CIF format:
```
data_Ca2ZnNi4Sn3
_chemical_formula_sum 'Ca2 Zn1 Ni4 Sn3'
_symmetry_space_group_name_H-M 'P -4 m 2'
_symmetry_Int_Tables_number 115
_cell_length_a 4.434
_cell_length_b 4.434
_cell_length_c 9.924
_cell_angle_alpha 90.00
_cell_angle_beta 90.00
_cell_angle_gamma 90.00
loop_
_symmetry_equiv_pos_as_xyz
'x,y,z'
'y,-x,-z'
'-x,-y,z'
'-y,x,-z'
'-x,y,z'
'-y,-x,-z'
'x,-y,z'
'y,x,-z'
loop_
_atom_site_label
_atom_site_type_symbol
_atom_site_fract_x
_atom_site_fract_y
_atom_site_fract_z
Ca1 Ca 0.000 0.500 0.245
Zn1 Zn 0.000 0.000 0.500
Ni1 Ni 0.000 0.000 0.000
Ni2 Ni 0.000 0.500 0.620
Ni3 Ni 0.500 0.500 0.000
Sn1 Sn 0.000 0.500 0.873
Sn2 Sn 0.500 0.500 0.500
```

Computed properties:
Crystal system: tetragonal
Formation enthalpy at 0 K (meV/atom): -367

=====

- Which value of formation enthalpy at 0 K does entry 2 give?
  -34 meV/atom